DFT (PBE-GGA) results for a relaxed KFe3Rh crystal.

Calculated values
The calculation puts the density of states at the Fermi level at 6.838 states/eV/f.u. As for the total DFT energy (no corrections): -4.345 eV per atom. The formation energy comes out at 1169 kJ/mol of formula units.

```
5
Lattice="4.3634 0.0000 0.0000 0.0000 4.3634 0.0000 0.0000 0.0000 4.3634" Properties=species:S:1:pos:R:3 pbc="T T T"
Fe 0.0000 2.1817 0.0000
Fe 0.0000 0.0000 2.1817
Fe 2.1817 0.0000 0.0000
K 0.0000 0.0000 0.0000
Rh 2.1817 2.1817 2.1817
```



DFT (PBE-GGA) results for a relaxed Li2Ca6N crystal.

Calculated values
The calculation puts the density of states at the Fermi level at 7.925 states/eV/f.u. As for the total DFT energy (no corrections): -2.925 eV per atom.

```
18
Lattice="-4.2195 0.0352 5.9560 -1.1040 -7.1770 -0.7397 8.3376 -1.8931 5.9244" Properties=species:S:1:pos:R:3 pbc="T T T"
Ca 2.1708 -0.5019 1.6057
Ca 6.9548 -3.8728 7.1783
Ca -3.9407 -5.1621 3.9624
Ca 0.7379 -2.5076 7.2354
Ca 2.2762 -6.5273 3.9053
Ca 6.3066 -7.2719 7.0036
Ca 0.8433 -8.5330 9.5349
Ca 0.0319 -6.2832 7.0219
Ca -3.2925 -1.7630 4.1370
Ca 2.9822 -2.7517 4.1187
Ca -0.6645 -4.0203 3.9641
Ca 3.6786 -5.0146 7.1766
Li -1.1315 -7.6263 3.7250
Li 5.6970 -5.0148 4.0778
Li 4.1456 -1.4086 7.4157
Li -2.6829 -4.0201 7.0629
N 4.1688 -0.9466 2.9622
N -2.6617 -3.5709 2.6081
```



DFT (PBE-GGA) results for a relaxed LiPm4Si3 crystal.

Calculated values
The calculation puts the density of states at the Fermi level at 6.349 states/eV/f.u. As for the total DFT energy (no corrections): -5.177 eV per atom.

```
8
Lattice="-2.5374 0.3472 3.5702 2.5204 -2.3475 2.0196 5.7821 8.9910 3.2349" Properties=species:S:1:pos:R:3 pbc="T T T"
Si 4.0498 8.4437 4.7606
Si 4.5779 3.9852 2.8659
Si 2.5112 3.9048 1.4049
Pm 6.2085 6.5207 3.7782
Pm 2.1176 2.3058 3.9843
Pm 0.8474 1.3176 0.4741
Pm 2.4373 5.9363 3.8585
Li 0.3448 -0.4509 2.9925
```



DFT (PBE-GGA) results for a relaxed InCu2Ru crystal.

Calculated values
The calculation puts the density of states at the Fermi level at 2.357 states/eV/f.u. As for the total DFT energy (no corrections): -4.716 eV per atom. The formation energy comes out at 130 kJ/mol of formula units.

```
4
Lattice="-2.8108 -6.1719 -5.4761 0.0136 -6.4503 -5.8629 -1.2732 -7.7956 -3.6861" Properties=species:S:1:pos:R:3 pbc="T T T"
Ru -3.0331 -15.2145 -11.1961
Cu -1.0440 -5.2371 -3.8539
Cu -4.0641 -20.3861 -15.0017
In -2.0348 -10.2069 -7.5111
```



DFT (PBE-GGA) results for a relaxed TbPu2Ru2 crystal.

Calculated values
The calculation puts the density of states at the Fermi level at 11.998 states/eV/f.u. As for the total DFT energy (no corrections): -10.317 eV per atom. The formation energy comes out at 25 kJ/mol of formula units.

```
10
Lattice="-0.2433 -0.6688 3.6576 -4.1884 -2.0435 -1.7083 6.2903 -10.4407 -2.3238" Properties=species:S:1:pos:R:3 pbc="T T T"
Ru 0.8996 -2.5963 2.3707
Ru 4.9155 -11.0018 0.3945
Ru 0.9590 -10.5567 -2.7452
Ru -3.0569 -2.1513 -0.7690
Pu -0.9799 -2.3740 0.6784
Pu 3.1280 -8.4652 0.8824
Pu -1.2694 -4.6878 -1.2569
Pu 2.8385 -10.7790 -1.0530
Tb 0.4375 -7.7838 -1.5879
Tb 1.4211 -5.3692 1.2133
```



DFT (PBE-GGA) results for a relaxed RbCaPuI6 crystal.

Calculated values
The calculation puts the density of states at the Fermi level at 14.327 states/eV/f.u. As for the total DFT energy (no corrections): -4.304 eV per atom.

```
18
Lattice="-0.4953 -8.0930 -0.4126 7.1151 3.7011 -1.2610 3.3148 -1.0058 15.7509" Properties=species:S:1:pos:R:3 pbc="T T T"
Ca 4.5276 -4.9161 11.1178
Ca 5.4070 -0.4818 2.9595
I 4.6104 -2.9217 1.1304
I 3.6414 -2.0127 5.0743
I 6.2932 -3.3851 9.0030
I 4.7664 0.7099 9.5858
I 9.6363 -2.2549 12.0536
I 2.5932 -6.8384 1.3047
I 5.3243 -2.4762 12.9469
I 0.9097 -5.4554 5.4293
I 0.2984 -3.1429 2.0237
I 5.1682 -6.1077 4.4915
I 7.3414 1.4406 12.7725
I 9.0249 0.0576 8.6479
Pu 2.8702 -4.4131 3.2423
Pu 7.0644 -0.9847 10.8349
Rb 1.6574 -0.5029 7.8754
Rb 0.0000 0.0000 0.0000
```



DFT (PBE-GGA) results for a relaxed Cs2BaCeO4 crystal.

Calculated values
The calculation puts the density of states at the Fermi level at 0.000 states/eV/f.u. As for the total DFT energy (no corrections): -6.025 eV per atom.

```
8
Lattice="3.8051 0.0000 0.0000 0.0000 6.7372 0.0404 0.0000 -2.4229 6.8974" Properties=species:S:1:pos:R:3 pbc="T T T"
Ce 0.0000 0.0000 0.0000
O 1.9026 3.4108 5.7276
O 0.0000 -0.5552 5.7434
O 0.0000 4.8695 1.1945
O 1.9026 0.9035 1.2103
Cs 1.9026 -1.2114 3.4487
Cs 0.0000 2.1572 3.4689
Ba 1.9026 3.3686 0.0202
```



DFT (PBE-GGA) results for a relaxed RbMn3W crystal.

Calculated values
The calculation puts the density of states at the Fermi level at 8.671 states/eV/f.u. As for the total DFT energy (no corrections): -5.071 eV per atom. The formation energy comes out at 1551 kJ/mol of formula units.

```
5
Lattice="-1.4809 -3.7378 -1.5346 3.7160 -0.6181 -2.0805 1.5866 -2.0411 3.4403" Properties=species:S:1:pos:R:3 pbc="T T T"
Mn -0.7405 -1.8689 -0.7673
Mn 1.8580 -0.3090 -1.0402
Mn 0.7933 -1.0206 1.7201
W 1.9108 -3.1985 -0.0874
Rb 0.0000 0.0000 0.0000
```



DFT (PBE-GGA) results for a relaxed ZrCr2Pt crystal.

Calculated values
The calculation puts the density of states at the Fermi level at 5.200 states/eV/f.u. As for the total DFT energy (no corrections): -8.409 eV per atom. The formation energy comes out at 19 kJ/mol of formula units.

```
4
Lattice="0.2232 -3.7938 -2.2567 -2.5120 -0.5877 -3.5888 1.8585 -0.0804 -4.0094" Properties=species:S:1:pos:R:3 pbc="T T T"
Cr -0.1076 -1.1155 -2.4637
Cr -0.3228 -3.3464 -7.3912
Zr 0.0000 0.0000 0.0000
Pt -0.2152 -2.2309 -4.9274
```



DFT (PBE-GGA) results for a relaxed Zn2FeIr crystal.

Calculated values
The calculation puts the density of states at the Fermi level at 1.179 states/eV/f.u. As for the total DFT energy (no corrections): -5.039 eV per atom. The formation energy comes out at -27 kJ/mol of formula units.

```
4
Lattice="4.2604 0.0000 0.0000 2.1302 3.6896 0.0000 2.1302 1.2299 3.4786" Properties=species:S:1:pos:R:3 pbc="T T T"
Fe 4.2604 2.4597 1.7393
Zn 0.0000 0.0000 0.0000
Zn 2.1302 1.2299 0.8696
Ir 6.3906 3.6896 2.6089
```



DFT (PBE-GGA) results for a relaxed Pm3PdSCl crystal.

Calculated values
The calculation puts the density of states at the Fermi level at 3.081 states/eV/f.u. As for the total DFT energy (no corrections): -5.596 eV per atom.

```
12
Lattice="3.8885 0.0000 0.0000 0.0000 7.7077 -1.0221 0.0000 -3.0776 10.8133" Properties=species:S:1:pos:R:3 pbc="T T T"
Pm 0.9721 3.8943 4.7858
Pm 0.9721 1.4240 8.5413
Pm 2.9164 3.2061 1.2499
Pm 0.9721 -2.4973 9.2166
Pm 2.9164 7.1274 0.5745
Pm 2.9164 0.7358 5.0054
Cl 0.9721 -0.8231 6.5842
Cl 2.9164 5.4532 3.2070
S 2.9164 -0.4716 9.3556
S 0.9721 5.1017 0.4355
Pd 0.9721 1.4817 2.8954
Pd 2.9164 3.1484 6.8957
```



DFT (PBE-GGA) results for a relaxed Pr2Hg2Au crystal.

Calculated values
The calculation puts the density of states at the Fermi level at 3.914 states/eV/f.u. As for the total DFT energy (no corrections): -3.207 eV per atom. The formation energy comes out at -250 kJ/mol of formula units.

```
10
Lattice="-3.9566 -0.2216 -2.3270 -4.2805 -3.1088 3.0365 -4.6591 9.4879 2.4807" Properties=species:S:1:pos:R:3 pbc="T T T"
Pr -8.8877 7.4112 0.7929
Pr -7.3457 3.9754 3.0360
Pr -4.0084 -1.2537 2.3973
Pr -5.5504 2.1821 0.1542
Hg -2.7314 0.3677 0.0715
Hg -4.1501 4.4953 2.0907
Hg -8.7460 1.6622 1.0995
Hg -10.1647 5.7898 3.1187
Au -6.0354 6.0055 0.6146
Au -6.8608 0.1520 2.5756
```



> The lowest total DFT energy (no corrections) belongs to which entry?

TbPu2Ru2